Entry 1:
PrGa3CoOs | PBE | relaxed

The structure in POSCAR format:
```
PrGa3CoOs
1.0
3.8336 -5.2822 0.0000
3.8336 5.2822 0.0000
0.0000 0.0000 5.8407
Pr Ga Co Os
2 6 2 2
Direct
0.2340 0.7660 0.7500
0.7660 0.2340 0.2500
0.2560 0.2560 0.0000
0.2560 0.2560 0.5000
0.2808 0.7192 0.2500
0.7192 0.2808 0.7500
0.7440 0.7440 0.0000
0.7440 0.7440 0.5000
0.4917 0.5083 0.2500
0.5083 0.4917 0.7500
0.0562 0.9438 0.2500
0.9438 0.0562 0.7500
```

For the formation energy, the calculation gives -0.19 eV per atom. The space group is Cmcm.

***

Entry 2:
Cs3Ac3PtO8 | PBE | relaxed

The structure in POSCAR format:
```
Cs3Ac3PtO8
1.0
3.7371 2.1576 6.9793
-3.7371 2.1576 6.9793
0.0000 -4.3152 6.9793
Cs Ac Pt O
3 3 1 8
Direct
0.0000 0.5000 0.5000
0.5000 0.0000 0.5000
0.5000 0.5000 0.0000
0.0000 0.0000 0.5000
0.0000 0.5000 0.0000
0.5000 0.0000 0.0000
0.5000 0.5000 0.5000
0.2245 0.2245 0.2245
0.2632 0.6970 0.6970
0.3030 0.3030 0.7368
0.3030 0.7368 0.3030
0.6970 0.2632 0.6970
0.6970 0.6970 0.2632
0.7368 0.3030 0.3030
0.7755 0.7755 0.7755
```

The energy relative to the elements, uncorrected is -2057 meV per atom. The space group is R-3m.

***

Entry 3:
Pa2Hg3I8 | PBE | relaxed

The structure in POSCAR format:
```
Pa2Hg3I8
1.0
11.1896 -4.5949 0.0000
11.1896 4.5949 0.0000
-1.3067 0.0000 5.9429
Pa Hg I
2 3 8
Direct
0.2267 0.2267 0.0824
0.7733 0.7733 0.9176
0.3172 0.6828 0.0000
0.5000 0.5000 0.5000
0.6828 0.3172 0.0000
0.1095 0.1095 0.2282
0.1127 0.5607 0.1639
0.2745 0.2745 0.6041
0.4393 0.8873 0.8361
0.5607 0.1127 0.1639
0.7255 0.7255 0.3959
0.8873 0.4393 0.8361
0.8905 0.8905 0.7718
```

The energy relative to the elements, uncorrected is -643 meV per atom. The space group is C2/m.

***

Number 1: total magnetization 0.0001 μB/atom. Number 2: total magnetization 0.0000 μB/atom. Number 3: total magnetization 0.1538 μB/atom.